SbAsW (PBE, optimized geometry); theoretical density = 10.9 g/cm3; raw total energy = -20.20 eV per cell; spin magnetization = 0.00 μB per formula unit; space group = P-6m2 (187)
1.0
4.474 0.000 0.000
-2.237 3.874 0.000
0.000 0.000 3.341
Sb As W
1 1 1
direct
0.000 0.000 0.000 Sb
0.333 0.667 0.500 As
0.667 0.333 0.500 W